Density functional theory data (PBEsol) for HfTaAlOs2 after structural relaxation.

Calculated formation energy (kJ/mol of formula units): 837
Raw total energy (eV per atom): -8.580
Spin magnetization (μB/atom): 0.003

Structure (extended XYZ):
```
5
Lattice="-3.244 2.312 -2.502 -3.376 -2.644 1.934 -0.473 3.247 3.613" Properties=species:S:1:pos:R:3 pbc="T T T"
Hf -0.236 1.623 1.806
Os -1.622 1.156 -1.251
Os -1.688 -1.322 0.967
Ta 0.000 0.000 0.000
Al -3.546 1.457 1.522
```